## BaCaTeF2 (PBE)

Data for an optimized crystal structure of BaCaTeF2.

- DOS(E_F) (states/eV/f.u.) = 0.0
- E (Ha/atom) = -0.189
- spin magnetization (μB/f.u.) = 0.0
- space-group type = P4mm, No. 99

CIF file:
```
data_BaCaTeF2
_space_group_name_H-M_alt 'P 1'
_space_group_IT_number 1
_cell_length_a 4.549
_cell_length_b 4.549
_cell_length_c 6.606
_cell_angle_alpha 90.00
_cell_angle_beta 90.00
_cell_angle_gamma 90.00
loop_
_space_group_symop_operation_xyz
'x,y,z'
loop_
_atom_site_label
_atom_site_type_symbol
_atom_site_fract_x
_atom_site_fract_y
_atom_site_fract_z
F1 F 0.500 0.000 0.930
F2 F 0.000 0.500 0.930
Ba1 Ba 0.500 0.500 0.663
Ca1 Ca 0.000 0.000 0.006
Te1 Te 0.000 0.000 0.471
```